{"formula": "Ti2SnIr", "functional": "PBE", "state": "relaxed", "ef_mev_per_atom": -151, "energy_ev_per_atom": -7.314, "magnetic_moment_mub_per_fu": 0.000, "n_ef_per_ev_cell": 10.94, "lattice_angstrom": [[-3.6602, 3.6602, 2.8632], [3.6602, -3.6602, 2.8632], [3.6602, 3.6602, -2.8632]], "species": ["Ti", "Ti", "Ti", "Ti", "Sn", "Sn", "Ir", "Ir"], "fractional_positions": [[0.0777, 0.1250, 0.4527], [0.3750, 0.9223, 0.0473], [0.6723, 0.6250, 0.5473], [0.8750, 0.3277, 0.9527], [0.2500, 0.7500, 0.5000], [0.5000, 0.5000, 0.0000], [0.0000, 0.0000, 0.0000], [0.7500, 0.2500, 0.5000]]}